Pm3TiGe5 | Alexandria via LeMat-Bulk | PBE | optimized geometry; N(E_F) = 11.63 states/eV per cell; calculated total energy = -0.209 Ha/atom; energy relative to the elements = -567 kJ/mol of formula units; space group = P6_3/mcm (193)
1.0
-4.226 1.630 -3.780
2.326 -6.527 -5.415
-6.080 -1.386 6.201
Pm Ti Ge
6 2 10
direct
0.750 0.385 0.000 Pm
0.750 0.615 0.615 Pm
0.750 0.000 0.385 Pm
0.250 0.615 0.000 Pm
0.250 0.385 0.385 Pm
0.250 0.000 0.615 Pm
0.000 0.000 0.000 Ti
0.500 0.000 0.000 Ti
0.000 0.333 0.667 Ge
0.500 0.667 0.333 Ge
0.000 0.667 0.333 Ge
0.500 0.333 0.667 Ge
0.750 0.747 0.000 Ge
0.750 0.253 0.253 Ge
0.750 0.000 0.747 Ge
0.250 0.253 0.000 Ge
0.250 0.747 0.747 Ge
0.250 0.000 0.253 Ge


LiAcGe2Pt2 | Alexandria via LeMat-Bulk | PBE | optimized geometry; N(E_F) = 4.55 states/eV per cell; calculated total energy = -0.199 Ha/atom; energy relative to the elements = -503 kJ/mol of formula units; space group = P-3m1 (164)
1.0
-1.221 -1.108 4.083
-1.118 -2.560 -3.404
6.057 -3.713 0.803
Li Ac Ge Pt
1 1 2 2
direct
0.000 0.000 0.500 Li
0.000 0.000 0.000 Ac
0.667 0.333 0.681 Ge
0.333 0.667 0.319 Ge
0.667 0.333 0.311 Pt
0.333 0.667 0.689 Pt


TbDy3Pu2S6 | Alexandria via LeMat-Bulk | PBE | optimized geometry; N(E_F) = 15.71 states/eV per cell; calculated total energy = -0.292 Ha/atom; space group = C2/m (12)
1.0
-3.943 -1.489 5.318
-2.526 -0.306 -6.290
3.928 -5.575 -0.089
Tb Dy Pu S
1 3 2 6
direct
0.000 0.000 0.000 Tb
0.167 0.833 0.500 Dy
0.833 0.167 0.500 Dy
0.500 0.500 0.500 Dy
0.333 0.667 0.000 Pu
0.667 0.333 0.000 Pu
0.916 0.583 0.747 S
0.752 0.752 0.254 S
0.084 0.417 0.253 S
0.583 0.916 0.747 S
0.248 0.248 0.746 S
0.417 0.084 0.253 S